# 1
A relaxed structure of NbCuAu3. Source: Alexandria, functional PBE.

a = 4.7080 Å, b = 4.7080 Å, c = 4.7080 Å
α = 90.00°, β = 90.00°, γ = 90.00°
Last column: nearest neighbours and their distance in Å.
Fractional coordinates of all 5 atoms:
Nb: 0.0000 0.0000 0.0000  12 Au 3.33
Cu: 0.5000 0.5000 0.5000  6 Au 2.35
Au: 0.0000 0.5000 0.5000  2 Cu 2.35
Au: 0.5000 0.0000 0.5000  2 Cu 2.35
Au: 0.5000 0.5000 0.0000  2 Cu 2.35

The calculation puts the energy of formation at 786 meV/atom. The value obtained for the total energy is -4.014 eV/atom. The value obtained for the distance to the lowest polymorph of the same formula is 0.000 eV per atom. The space group is Pm-3m (221). The value obtained for the density of states at the Fermi level is 3.82 states/eV per cell.

=====

# 2
A relaxed structure of NbCuAu. Source: Alexandria, functional PBE.

a = 7.8983 Å, b = 7.8983 Å, c = 7.8983 Å
α = 160.01°, β = 142.14°, γ = 43.18°
Last column: nearest neighbours and their distance in Å.
Fractional coordinates of all 6 atoms:
Nb: 0.2474 0.0000 0.2474  4 Nb 2.54-2.74, 2 Cu 2.77
Nb: 0.7526 0.0000 0.7526  4 Nb 2.54-2.74, 2 Cu 2.77
Cu: 0.1679 0.1679 0.0000  5 Au 2.61-2.91, 2 Cu 2.74, 2 Nb 2.77
Cu: 0.8321 0.8321 0.0000  5 Au 2.61-2.91, 2 Cu 2.74, 2 Nb 2.77
Au: 0.3455 0.3455 0.0000  5 Cu 2.61-2.91, 2 Au 2.74
Au: 0.6545 0.6545 0.0000  5 Cu 2.61-2.91, 2 Au 2.74

The calculation puts the energy of formation at 257 meV/atom. The value obtained for the total energy is -5.557 eV/atom. The value obtained for the distance to the lowest polymorph of the same formula is 0.326 eV per atom. The space group is Immm (71). The value obtained for the density of states at the Fermi level is 3.62 states/eV per cell.

=====

# 3
A relaxed structure of Nb2Cu2Au. Source: Alexandria, functional PBE.

a = 7.1733 Å, b = 7.1733 Å, c = 3.0717 Å
α = 90.00°, β = 90.00°, γ = 90.00°
Last column: nearest neighbours and their distance in Å.
Fractional coordinates of all 10 atoms:
Nb: 0.1722 0.3278 0.0000  6 Cu 2.58-2.64
Nb: 0.3278 0.8278 0.0000  6 Cu 2.58-2.64
Nb: 0.6722 0.1722 0.0000  6 Cu 2.58-2.64
Nb: 0.8278 0.6722 0.0000  6 Cu 2.58-2.64
Cu: 0.1231 0.6231 0.5000  1 Cu 2.50, 6 Nb 2.58-2.64
Cu: 0.3769 0.1231 0.5000  1 Cu 2.50, 6 Nb 2.58-2.64
Cu: 0.6231 0.8769 0.5000  1 Cu 2.50, 6 Nb 2.58-2.64
Cu: 0.8769 0.3769 0.5000  1 Cu 2.50, 6 Nb 2.58-2.64
Au: 0.0000 0.0000 0.5000  4 Cu 2.84, 8 Nb 3.07, 2 Au 3.07
Au: 0.5000 0.5000 0.5000  4 Cu 2.84, 8 Nb 3.07, 2 Au 3.07

The calculation puts the energy of formation at 97 meV/atom. The value obtained for the total energy is -6.225 eV/atom. The value obtained for the distance to the lowest polymorph of the same formula is 0.000 eV per atom. The space group is P4/mbm (127). The value obtained for the density of states at the Fermi level is 9.28 states/eV per cell.

=====

# 4
A relaxed structure of Nb3CuAu. Source: Alexandria, functional PBE.

a = 4.6449 Å, b = 4.6449 Å, c = 4.6449 Å
α = 90.00°, β = 90.00°, γ = 90.00°
Last column: nearest neighbours and their distance in Å.
Fractional coordinates of all 5 atoms:
Nb: 0.0000 0.0000 0.5000  2 Cu 2.32
Nb: 0.0000 0.5000 0.0000  2 Cu 2.32
Nb: 0.5000 0.0000 0.0000  2 Cu 2.32
Cu: 0.0000 0.0000 0.0000  6 Nb 2.32
Au: 0.5000 0.5000 0.5000  12 Nb 3.28

The calculation puts the energy of formation at 1030 meV/atom. The value obtained for the total energy is -6.487 eV/atom. The value obtained for the distance to the lowest polymorph of the same formula is 0.000 eV per atom. The space group is Pm-3m (221). The value obtained for the density of states at the Fermi level is 8.17 states/eV per cell.

=====

# 5
A relaxed structure of NbCuAu. Source: Alexandria, functional PBE.

a = 6.1598 Å, b = 6.1598 Å, c = 6.1598 Å
α = 152.99°, β = 152.99°, γ = 38.56°
Last column: nearest neighbours and their distance in Å.
Fractional coordinates of all 3 atoms:
Nb: 0.0000 0.0000 0.0000  4 Cu 2.74, 4 Nb 2.88, 4 Au 2.95
Cu: 0.6574 0.6574 0.0000  4 Nb 2.74, 4 Au 2.74, 4 Cu 2.88
Au: 0.3158 0.3158 0.0000  4 Cu 2.74, 4 Au 2.88, 4 Nb 2.95

The calculation puts the energy of formation at -21 meV/atom. The value obtained for the total energy is -5.835 eV/atom. The value obtained for the distance to the lowest polymorph of the same formula is 0.048 eV per atom. The space group is I4mm (107). The value obtained for the density of states at the Fermi level is 2.82 states/eV per cell.

=====

# 6
A relaxed structure of Rb2NbCuAu. Source: Alexandria, functional PBE.

a = 6.5724 Å, b = 6.5724 Å, c = 4.8857 Å
α = 90.00°, β = 90.00°, γ = 90.00°
Last column: nearest neighbours and their distance in Å.
Fractional coordinates of all 5 atoms:
Rb: 0.0000 0.5000 0.0000  2 Au 3.29
Rb: 0.5000 0.0000 0.0000  2 Au 3.29
Nb: 0.0000 0.0000 0.5000  8 Rb 4.09
Cu: 0.5000 0.5000 0.5000  2 Au 2.44
Au: 0.5000 0.5000 0.0000  2 Cu 2.44

The calculation puts the energy of formation at 1113 meV/atom. The value obtained for the total energy is -2.763 eV/atom. The space group is P4/mmm (123). The value obtained for the density of states at the Fermi level is 1.57 states/eV per cell.

=====

# 7
A relaxed structure of Nb2CuAuS. Source: Alexandria, functional PBE.

a = 5.0571 Å, b = 5.0571 Å, c = 4.7081 Å
α = 90.00°, β = 90.00°, γ = 90.00°
Last column: nearest neighbours and their distance in Å.
Fractional coordinates of all 5 atoms:
Nb: 0.0000 0.5000 0.0000  2 Au 2.53
Nb: 0.5000 0.0000 0.0000  2 Au 2.53
Cu: 0.0000 0.0000 0.5000  8 Nb 3.45, 4 S 3.58
Au: 0.5000 0.5000 0.0000  2 S 2.35, 4 Nb 2.53
S: 0.5000 0.5000 0.5000  2 Au 2.35

For the formation energy from raw total energies, the calculation gives 1687 meV per atom. The value obtained for the total energy is -4.641 eV/atom. The value obtained for the distance to the lowest polymorph of the same formula is 0.719 eV per atom. The space group is P4/mmm (123). The value obtained for the density of states at the Fermi level is 6.48 states/eV per cell.

=====

# 8
A relaxed structure of NbCu2AuS4. Source: Alexandria, functional PBE.

a = 6.6766 Å, b = 6.6766 Å, c = 6.6766 Å
α = 131.69°, β = 131.69°, γ = 70.72°
Last column: nearest neighbours and their distance in Å.
Fractional coordinates of all 8 atoms:
Nb: 0.0000 0.0000 0.0000  4 S 2.34
Cu: 0.2500 0.7500 0.5000  4 S 2.31
Cu: 0.7500 0.2500 0.5000  4 S 2.31
Au: 0.5000 0.5000 0.0000  4 S 2.51
S: 0.1022 0.1022 0.4722  2 Cu 2.31, 1 Nb 2.34, 1 Au 2.51
S: 0.3700 0.8978 0.0000  2 Cu 2.31, 1 Nb 2.34, 1 Au 2.51
S: 0.6300 0.6300 0.5278  2 Cu 2.31, 1 Nb 2.34, 1 Au 2.51
S: 0.8978 0.3700 0.0000  2 Cu 2.31, 1 Nb 2.34, 1 Au 2.51

For the formation energy from raw total energies, the calculation gives -418 meV per atom. The value obtained for the total energy is -5.174 eV/atom. The space group is I-42m (121). The value obtained for the density of states at the Fermi level is 0.10 states/eV per cell.

=====

# 9
A relaxed structure of Nb2CuAuS. Source: Alexandria, functional PBE.

a = 4.8769 Å, b = 4.8769 Å, c = 4.0164 Å
α = 90.00°, β = 90.00°, γ = 90.00°
Last column: nearest neighbours and their distance in Å.
Fractional coordinates of all 5 atoms:
Nb: 0.0000 0.5000 0.0000  2 Cu 2.44
Nb: 0.5000 0.0000 0.0000  2 Cu 2.44
Cu: 0.0000 0.0000 0.0000  2 S 2.01
Au: 0.5000 0.5000 0.5000  8 Nb 3.16, 4 S 3.45
S: 0.0000 0.0000 0.5000  2 Cu 2.01

For the formation energy from raw total energies, the calculation gives 968 meV per atom. The value obtained for the total energy is -5.360 eV/atom. The value obtained for the distance to the lowest polymorph of the same formula is 0.000 eV per atom. The space group is P4/mmm (123). The value obtained for the density of states at the Fermi level is 6.42 states/eV per cell.

=====

# 10
A relaxed structure of NbCu2SnAu. Source: Alexandria, functional PBE.

a = 4.8327 Å, b = 4.8327 Å, c = 5.1312 Å
α = 90.00°, β = 90.00°, γ = 90.00°
Last column: nearest neighbours and their distance in Å.
Fractional coordinates of all 5 atoms:
Nb: 0.0000 0.0000 0.0000  4 Cu 2.42, 2 Au 2.57
Cu: 0.0000 0.5000 0.0000  2 Nb 2.42
Cu: 0.5000 0.0000 0.0000  2 Nb 2.42
Sn: 0.5000 0.5000 0.5000  4 Au 3.42, 8 Cu 3.52
Au: 0.0000 0.0000 0.5000  2 Nb 2.57

The calculation puts the energy of formation at 1081 meV/atom. The value obtained for the total energy is -4.028 eV/atom. The space group is P4/mmm (123). The value obtained for the density of states at the Fermi level is 6.36 states/eV per cell.

=====

# 11
A relaxed structure of TiNbCuAu. Source: Alexandria, functional PBE.

a = 3.2826 Å, b = 3.2826 Å, c = 6.0414 Å
α = 90.00°, β = 90.00°, γ = 90.00°
Last column: nearest neighbours and their distance in Å.
Fractional coordinates of all 4 atoms:
Ti: 0.0000 0.0000 0.0000  4 Au 2.76, 4 Nb 2.86, 2 Cu 2.96-3.08
Nb: 0.5000 0.5000 0.2767  4 Cu 2.71, 4 Ti 2.86, 1 Au 2.87
Cu: 0.0000 0.0000 0.5092  4 Nb 2.71, 4 Au 2.75, 1 Ti 2.96
Au: 0.5000 0.5000 0.7520  4 Cu 2.75, 4 Ti 2.76, 1 Nb 2.87

The calculation puts the energy of formation at -156 meV/atom. The value obtained for the total energy is -6.491 eV/atom. The space group is P4mm (99). The value obtained for the density of states at the Fermi level is 2.80 states/eV per cell.

=====

# 12
A relaxed structure of YNbCuAu2. Source: Alexandria, functional PBE.

a = 5.2739 Å, b = 5.2739 Å, c = 5.1163 Å
α = 90.00°, β = 90.00°, γ = 90.00°
Last column: nearest neighbours and their distance in Å.
Fractional coordinates of all 5 atoms:
Y: 0.0000 0.0000 0.0000  2 Nb 2.56, 4 Au 2.64
Nb: 0.0000 0.0000 0.5000  2 Y 2.56
Cu: 0.5000 0.5000 0.5000  8 Au 3.67, 4 Nb 3.73
Au: 0.0000 0.5000 0.0000  2 Y 2.64
Au: 0.5000 0.0000 0.0000  2 Y 2.64

The calculation puts the energy of formation at 1470 meV/atom. The value obtained for the total energy is -3.967 eV/atom. The space group is P4/mmm (123). The value obtained for the density of states at the Fermi level is 4.17 states/eV per cell.